[1]
16
Lattice="3.9644 2.2888 6.5432 -3.9644 2.2888 6.5432 0.0000 -4.5777 6.5432" Properties=species:S:1:pos:R:3 comment="Tb3Pm4DyS8, optimized geometry, DFT PBE" e_form_raw_ev_per_atom=-2.0187 e_tot_ev_per_atom=-6.426 n_ef_per_ev_atom=0.52 magmom_total_mub_per_cell=0.00 crystal_system=trigonal pbc="T T T"
Tb -1.9822 -1.1444 6.5432
Tb -1.9822 1.1444 13.0864
Tb 0.0000 2.2888 6.5432
Pm -3.9644 0.0000 9.8148
Pm -1.9822 1.1444 3.2716
Pm 1.9822 1.1444 3.2716
Pm 0.0000 0.0000 9.8148
Dy 0.0000 0.0000 0.0000
S 0.0000 -2.2962 8.1028
S -1.9886 1.1481 8.1028
S -1.9886 -1.1481 11.5268
S 0.0000 0.0000 4.9786
S 0.0000 0.0000 14.6510
S 1.9886 1.1481 8.1028
S 1.9886 -1.1481 11.5268
S 0.0000 2.2962 11.5268



[2]
8
Lattice="6.8590 0.0000 0.0000 0.0000 3.9299 0.0000 -2.2586 0.0000 6.5905" Properties=species:S:1:pos:R:3 comment="TbPm2DyS4, optimized geometry, DFT PBE" e_form_raw_ev_per_atom=-2.0190 e_tot_ev_per_atom=-6.424 n_ef_per_ev_atom=0.57 magmom_total_mub_per_cell=0.00 crystal_system=monoclinic pbc="T T T"
Tb 0.0000 0.0000 0.0000
Pm -1.1293 1.9649 3.2952
Pm 2.3002 0.0000 3.2952
Dy 3.4295 1.9649 0.0000
S 1.1558 1.9649 1.5740
S 0.0292 0.0000 5.0209
S 4.5712 0.0000 1.5695
S 3.4446 1.9649 5.0165